(1)
# In5HgPb4

An optimized crystal structure of In5HgPb4 (PBE, Alexandria via LeMat-Bulk).

Results
calculated formation energy = 0.026 eV/atom
space group = P4/mmm, No. 123

Cell: 3.9204 3.9204 18.7485 Å, 90.00 90.00 90.00°
Atoms (fractional coordinates):
In  0.0000  0.0000  0.0000
In  0.0000  0.0000  0.2024
In  0.0000  0.0000  0.4085
In  0.0000  0.0000  0.5915
In  0.0000  0.0000  0.7976
Hg  0.5000  0.5000  0.5000
Pb  0.5000  0.5000  0.1039
Pb  0.5000  0.5000  0.3049
Pb  0.5000  0.5000  0.6951
Pb  0.5000  0.5000  0.8961

***

(2)
# TbPm6Pr2

An optimized crystal structure of TbPm6Pr2 (PBE, Alexandria via LeMat-Bulk).

Results
calculated formation energy = 0.097 eV/atom
energy above the most stable polymorph in this dataset = 4.3 kJ/mol of atoms
space group = C2/c, No. 15

Cell: 10.5550 10.5550 6.2577 Å, 91.67 91.67 117.54°
Atoms (fractional coordinates):
Tb  0.2496  0.7504  0.7500
Tb  0.7504  0.2496  0.2500
Pm  0.0043  0.8345  0.9989
Pm  0.0817  0.5821  0.2543
Pm  0.1655  0.9957  0.5011
Pm  0.3341  0.5047  0.9985
Pm  0.4179  0.9183  0.2457
Pm  0.4953  0.6659  0.5015
Pm  0.5047  0.3341  0.4985
Pm  0.5821  0.0817  0.7543
Pm  0.6659  0.4953  0.0015
Pm  0.8345  0.0043  0.4989
Pm  0.9183  0.4179  0.7457
Pm  0.9957  0.1655  0.0011
Pr  0.1699  0.3302  0.4995
Pr  0.3302  0.1699  0.9995
Pr  0.6698  0.8301  0.0005
Pr  0.8301  0.6698  0.5005

***

(3)
# HfCd

An optimized crystal structure of HfCd (PBE, Alexandria via LeMat-Bulk).

Results
calculated formation energy = 0.063 eV/atom
space group = Pnma, No. 62

Cell: 12.3509 4.5976 6.1353 Å, 90.00 90.00 90.00°
Atoms (fractional coordinates):
Hf  0.0610  0.2500  0.1197
Hf  0.1917  0.7500  0.8773
Hf  0.3083  0.2500  0.3773
Hf  0.4390  0.7500  0.6197
Hf  0.5610  0.2500  0.3803
Hf  0.6917  0.7500  0.6227
Hf  0.8083  0.2500  0.1227
Hf  0.9390  0.7500  0.8803
Cd  0.0795  0.2500  0.6326
Cd  0.1639  0.7500  0.3825
Cd  0.3361  0.2500  0.8825
Cd  0.4205  0.7500  0.1326
Cd  0.5795  0.2500  0.8674
Cd  0.6639  0.7500  0.1175
Cd  0.8361  0.2500  0.6175
Cd  0.9205  0.7500  0.3674

***

(4)
# ZnTeAu2

An optimized crystal structure of ZnTeAu2 (PBE, Alexandria via LeMat-Bulk).

Results
formation energy (no corrections) = 0.086 eV per atom
energy above the most stable polymorph in this dataset = 15.7 kJ/mol of atoms
space group = P4mm, No. 99

Cell: 3.8015 3.8015 5.6650 Å, 90.00 90.00 90.00°
Atoms (fractional coordinates):
Zn  0.0000  0.0000  0.0000
Te  0.5000  0.5000  0.7375
Au  0.0000  0.0000  0.4593
Au  0.5000  0.5000  0.2273

***

(5)
# MnTl2Se

An optimized crystal structure of MnTl2Se (PBE, Alexandria via LeMat-Bulk).

Results
formation energy (no corrections) = 0.308 eV per atom
energy above the most stable polymorph in this dataset = 35.0 kJ/mol of atoms
space group = F-43m, No. 216

Cell: 5.2132 5.2132 5.2132 Å, 60.00 60.00 60.00°
Atoms (fractional coordinates):
Mn  0.0000  0.0000  0.0000
Tl  0.5000  0.5000  0.5000
Tl  0.7500  0.7500  0.7500
Se  0.2500  0.2500  0.2500

***

(6)
# BaHoZn2Si2

An optimized crystal structure of BaHoZn2Si2 (PBE, Alexandria via LeMat-Bulk).

Results
formation energy (no corrections) = -0.486 eV per atom
space group = P-3m1, No. 164

Cell: 4.2248 4.2248 8.9406 Å, 90.00 90.00 120.00°
Atoms (fractional coordinates):
Ba  0.0000  0.0000  0.0000
Ho  0.0000  0.0000  0.5000
Zn  0.3333  0.6667  0.7113
Zn  0.6667  0.3333  0.2887
Si  0.3333  0.6667  0.2889
Si  0.6667  0.3333  0.7111

***

(7)
# K3Na2Tl5

An optimized crystal structure of K3Na2Tl5 (PBE, Alexandria via LeMat-Bulk).

Results
calculated formation energy = -0.069 eV/atom
energy above the most stable polymorph in this dataset = 0.0 kJ/mol of atoms
space group = Ibam, No. 72

Cell: 13.8666 13.8666 13.8666 Å, 145.43 45.71 151.02°
Atoms (fractional coordinates):
K  0.2237  0.6506  0.8743
K  0.2500  0.2502  0.0000
K  0.2763  0.1506  0.4269
K  0.7237  0.8494  0.5731
K  0.7500  0.7498  0.0000
K  0.7763  0.3494  0.1257
Na  0.1039  0.3186  0.4225
Na  0.3961  0.8186  0.2147
Na  0.6039  0.1814  0.7853
Na  0.8961  0.6814  0.5775
Tl  0.0865  0.7168  0.8033
Tl  0.0966  0.2500  0.8466
Tl  0.2500  0.7500  0.5000
Tl  0.4034  0.2500  0.1534
Tl  0.4135  0.2168  0.6304
Tl  0.5865  0.7832  0.3696
Tl  0.5966  0.7500  0.8466
Tl  0.7500  0.2500  0.5000
Tl  0.9034  0.7500  0.1534
Tl  0.9135  0.2832  0.1967

***

(8)
# NaGdHgRh

An optimized crystal structure of NaGdHgRh (PBE, Alexandria via LeMat-Bulk).

Results
calculated formation energy = -0.227 eV/atom
space group = F-43m, No. 216

Cell: 4.9927 4.9927 4.9927 Å, 60.00 60.00 60.00°
Atoms (fractional coordinates):
Na  0.0000  0.0000  0.0000
Gd  0.5000  0.5000  0.5000
Hg  0.2500  0.2500  0.2500
Rh  0.7500  0.7500  0.7500

***

Please write out number 5 again, unchanged.
# MnTl2Se

An optimized crystal structure of MnTl2Se (PBE, Alexandria via LeMat-Bulk).

Results
formation energy (no corrections) = 0.308 eV per atom
energy above the most stable polymorph in this dataset = 35.0 kJ/mol of atoms
space group = F-43m, No. 216

Cell: 5.2132 5.2132 5.2132 Å, 60.00 60.00 60.00°
Atoms (fractional coordinates):
Mn  0.0000  0.0000  0.0000
Tl  0.5000  0.5000  0.5000
Tl  0.7500  0.7500  0.7500
Se  0.2500  0.2500  0.2500